# TeMoAs (PBE, relaxed)
data_TeMoAs
_chemical_formula_sum 'Te2 Mo2 As2'
_cell_length_a 3.215
_cell_length_b 3.215
_cell_length_c 12.690
_cell_angle_alpha 90.00
_cell_angle_beta 90.00
_cell_angle_gamma 90.00
_symmetry_space_group_name_H-M 'I 4 m m'
_symmetry_Int_Tables_number 107
_symmetry_space_group_name_Hall 'I 4 -2'
loop_
_atom_site_label
_atom_site_fract_x
_atom_site_fract_y
_atom_site_fract_z
_atom_site_occupancy
Te1 0.000 0.000 0.000 1
Mo1 0.000 0.000 0.366 1
As1 0.000 0.000 0.752 1
# V, A^3/atom: 21.86
# Energy above the most stable polymorph in this dataset, meV per atom: 30.7
# E_form (uncorrected), eV per atom: 0.01
# DFT total energy, eV per cell: -37.21
# Calculated density, g cm⁻³: 7.6

# KSb2P (PBE, relaxed)
data_KSb2P
_chemical_formula_sum 'K3 Sb6 P3'
_cell_length_a 3.8170
_cell_length_b 3.8170
_cell_length_c 27.2744
_cell_angle_alpha 90.00
_cell_angle_beta 90.00
_cell_angle_gamma 120.00
_symmetry_space_group_name_H-M 'R -3 m'
_symmetry_Int_Tables_number 166
_symmetry_space_group_name_Hall '-R 3 2"'
loop_
_atom_site_label
_atom_site_fract_x
_atom_site_fract_y
_atom_site_fract_z
_atom_site_occupancy
K1 0.0000 0.0000 0.0000 1
Sb1 0.0000 0.0000 0.2280 1
P1 0.0000 0.0000 0.5000 1
# V, A^3/atom: 28.68
# E_form (uncorrected), eV per atom: 0.00
# DFT total energy, eV per cell: -44.30
# Calculated density, g cm⁻³: 4.5

Question: What is the calculated density in the second record?
Answer: 4.5 g cm⁻³